1.
Density functional theory data (GGA-PBE) for an optimized crystal structure of ZrCuH2.

As for the energy above the most stable polymorph in this dataset: 0.0000 eV/atom.

Structure (POSCAR):
```
ZrCuH2
1.0
5.742 0.000 0.000
0.000 5.714 0.000
-2.626 0.000 4.923
Zr Cu H
4 4 8
Direct
0.240 0.125 0.250
0.240 0.375 0.750
0.760 0.625 0.250
0.760 0.875 0.750
0.284 0.617 0.291
0.284 0.883 0.791
0.716 0.117 0.209
0.716 0.383 0.709
0.019 0.685 0.657
0.019 0.815 0.157
0.489 0.155 0.663
0.489 0.345 0.163
0.511 0.655 0.837
0.511 0.845 0.337
0.981 0.185 0.843
0.981 0.315 0.343
```

2.
Density functional theory data (GGA-PBE) for an optimized crystal structure of ZrCuH2.

As for the energy above the most stable polymorph in this dataset: 0.1605 eV/atom.

Structure (POSCAR):
```
ZrCuH2
1.0
-2.056 2.056 4.978
2.056 -2.056 4.978
2.056 2.056 -4.978
Zr Cu H
2 2 4
Direct
0.000 0.000 0.000
0.750 0.250 0.500
0.250 0.750 0.500
0.500 0.500 0.000
0.179 0.625 0.054
0.375 0.429 0.554
0.571 0.125 0.946
0.875 0.821 0.446
```

3.
Density functional theory data (GGA-PBE) for an optimized crystal structure of Zr2CuH.

As for the energy above the most stable polymorph in this dataset: 0.0000 eV/atom.

Structure (POSCAR):
```
Zr2CuH
1.0
6.807 -1.723 0.000
6.807 1.723 0.000
-2.622 0.000 5.375
Zr Cu H
4 2 2
Direct
0.001 0.001 0.240
0.283 0.283 0.782
0.717 0.717 0.218
0.999 0.999 0.760
0.386 0.386 0.385
0.614 0.614 0.615
0.124 0.124 0.123
0.876 0.876 0.877
```

4.
Density functional theory data (GGA-PBE) for an optimized crystal structure of Zr4Cu2H.

Its total energy is -46.0 eV/cell.

Structure (POSCAR):
```
Zr4Cu2H
1.0
-2.102 2.102 6.957
2.102 -2.102 6.957
2.102 2.102 -6.957
Zr Cu H
4 2 1
Direct
0.000 0.500 0.500
0.186 0.186 0.000
0.500 0.000 0.500
0.814 0.814 0.000
0.369 0.369 0.000
0.631 0.631 0.000
0.000 0.000 0.000
```

5.
Density functional theory data (GGA-PBE) for an optimized crystal structure of Zr2CuH.

As for the energy above the most stable polymorph in this dataset: 0.1270 eV/atom.

Structure (POSCAR):
```
Zr2CuH
1.0
1.599 0.923 6.981
-1.599 0.923 6.981
0.000 -1.847 6.981
Zr Cu H
2 1 1
Direct
0.232 0.232 0.232
0.768 0.768 0.768
0.000 0.000 0.000
0.500 0.500 0.500
```

6.
Density functional theory data (GGA-PBE) for an optimized crystal structure of ZrCu2H.

As for the energy above the most stable polymorph in this dataset: 0.0000 eV/atom.

Structure (POSCAR):
```
ZrCu2H
1.0
-2.634 2.634 3.733
2.634 -2.634 3.733
2.634 2.634 -3.733
Zr Cu H
2 4 2
Direct
0.375 0.625 0.750
0.625 0.375 0.250
0.000 0.000 0.000
0.000 0.000 0.500
0.000 0.500 0.000
0.500 0.000 0.500
0.125 0.875 0.250
0.875 0.125 0.750
```

7.
Density functional theory data (GGA-PBE) for an optimized crystal structure of Hf5Cu3.

The calculation puts the energy of formation from the pure elements at -0.140 eV/atom.

Structure (POSCAR):
```
Hf5Cu3
1.0
3.165 0.000 0.000
0.000 3.165 0.000
0.000 0.000 14.666
Hf Cu
5 3
Direct
0.000 0.000 0.000
0.000 0.000 0.237
0.000 0.000 0.763
0.500 0.500 0.380
0.500 0.500 0.620
0.000 0.000 0.500
0.500 0.500 0.115
0.500 0.500 0.885
```

8.
Density functional theory data (GGA-PBE) for an optimized crystal structure of HfCu3.

The calculation puts the energy of formation from the pure elements at 0.055 eV/atom.

Structure (POSCAR):
```
HfCu3
1.0
2.822 0.000 0.000
0.000 4.432 0.000
0.000 0.000 4.684
Hf Cu
1 3
Direct
0.000 0.000 0.000
0.000 0.500 0.638
0.500 0.000 0.496
0.500 0.500 0.177
```

9.
Density functional theory data (GGA-PBE) for an optimized crystal structure of Hf2Cu7.

The calculation puts the energy of formation from the pure elements at -0.067 eV/atom.

Structure (POSCAR):
```
Hf2Cu7
1.0
2.459 1.419 12.206
-2.459 1.419 12.206
0.000 -2.839 12.206
Hf Cu
4 14
Direct
0.049 0.049 0.049
0.146 0.146 0.146
0.854 0.854 0.854
0.951 0.951 0.951
0.000 0.500 0.500
0.108 0.613 0.613
0.278 0.278 0.278
0.387 0.387 0.892
0.387 0.892 0.387
0.389 0.389 0.389
0.500 0.000 0.500
0.500 0.500 0.000
0.500 0.500 0.500
0.611 0.611 0.611
0.613 0.108 0.613
0.613 0.613 0.108
0.722 0.722 0.722
0.892 0.387 0.387
```

10.
Density functional theory data (GGA-PBE) for an optimized crystal structure of HfCu3.

The calculation puts the energy of formation from the pure elements at -0.094 eV/atom.

Structure (POSCAR):
```
HfCu3
1.0
-2.009 2.009 3.558
2.009 -2.009 3.558
2.009 2.009 -3.558
Hf Cu
1 3
Direct
0.000 0.000 0.000
0.250 0.750 0.500
0.500 0.500 0.000
0.750 0.250 0.500
```

11.
Density functional theory data (GGA-PBE) for an optimized crystal structure of HfCu3.

The calculation puts the energy of formation from the pure elements at -0.086 eV/atom.

Structure (POSCAR):
```
HfCu3
1.0
5.595 0.000 0.000
-2.798 4.846 0.000
0.000 0.000 4.274
Hf Cu
2 6
Direct
0.333 0.667 0.250
0.667 0.333 0.750
0.154 0.308 0.750
0.154 0.846 0.750
0.308 0.154 0.250
0.692 0.846 0.750
0.846 0.154 0.250
0.846 0.692 0.250
```

12.
Density functional theory data (GGA-PBE) for an optimized crystal structure of HfCu3.

The calculation puts the energy of formation from the pure elements at -0.093 eV/atom.

Structure (POSCAR):
```
HfCu3
1.0
1.892 -4.543 0.000
1.892 4.543 0.000
0.000 0.000 6.759
Hf Cu
2 6
Direct
0.064 0.936 0.750
0.936 0.064 0.250
0.226 0.774 0.250
0.368 0.632 0.556
0.368 0.632 0.944
0.632 0.368 0.056
0.632 0.368 0.444
0.774 0.226 0.750
```

Computed values of D(E_F) (unit: states/eV per cell) for the preceding records, in sequence: 4.127 2.902 5.859 7.077 3.768 6.394 5.897 2.366 13.336 2.266 4.735 5.115.